Here is CaPI2N after structural relaxation from Alexandria. Energies are from PBE-GGA.

Cell: 6.016 6.016 4.221 Å, 90.00 90.00 90.00°
Fractional positions:
Ca  0.000  0.000  0.000
P  0.500  0.500  0.500
I  0.000  0.500  0.000
I  0.500  0.000  0.000
N  0.000  0.000  0.500

Raw total energy = -0.10335 Ha/atom
E_form (uncorrected) = 955 meV per atom
Relative energy among the computed polymorphs = 995.5 meV/atom

Here is Ca6PI3N2 after structural relaxation from Alexandria. Energies are from PBE-GGA.

Cell: 6.867 6.867 7.780 Å, 98.45 98.45 119.98°
Fractional positions:
Ca  0.078  0.443  0.828
Ca  0.192  0.192  0.170
Ca  0.443  0.078  0.828
Ca  0.557  0.922  0.172
Ca  0.808  0.808  0.830
Ca  0.922  0.557  0.172
P  0.500  0.500  0.000
I  0.000  0.000  0.500
I  0.337  0.663  0.500
I  0.663  0.337  0.500
N  0.167  0.833  0.000
N  0.833  0.167  0.000

Raw total energy = -0.16374 Ha/atom
E_form (uncorrected) = -1229 meV per atom

Here is CaPbI2N after structural relaxation from Alexandria. Energies are from PBE-GGA.

Cell: 6.397 6.397 4.171 Å, 90.00 90.00 90.00°
Fractional positions:
Ca  0.000  0.000  0.000
Pb  0.500  0.500  0.500
I  0.000  0.500  0.500
I  0.500  0.000  0.500
N  0.500  0.500  0.000

Raw total energy = -0.12023 Ha/atom
E_form (uncorrected) = 156 meV per atom
Relative energy among the computed polymorphs = 76.5 meV/atom

Here is CaPbI2N after structural relaxation from Alexandria. Energies are from PBE-GGA.

Cell: 6.010 6.010 4.746 Å, 90.00 90.00 90.00°
Fractional positions:
Ca  0.000  0.000  0.000
Pb  0.500  0.500  0.500
I  0.000  0.500  0.000
I  0.500  0.000  0.000
N  0.000  0.000  0.500

Raw total energy = -0.12304 Ha/atom
E_form (uncorrected) = 79 meV per atom
Relative energy among the computed polymorphs = 0.0 meV/atom

Here is CaPdI2N after structural relaxation from Alexandria. Energies are from PBE-GGA.

Cell: 5.893 5.893 3.826 Å, 90.00 90.00 90.00°
Fractional positions:
Ca  0.000  0.000  0.000
Pd  0.500  0.500  0.500
I  0.000  0.500  0.500
I  0.500  0.000  0.500
N  0.500  0.500  0.000

Raw total energy = -0.13755 Ha/atom
E_form (uncorrected) = -19 meV per atom
Relative energy among the computed polymorphs = 0.0 meV/atom

Here is CaPd2IN after structural relaxation from Alexandria. Energies are from PBE-GGA.

Cell: 5.239 5.239 4.445 Å, 90.00 90.00 90.00°
Fractional positions:
Ca  0.000  0.000  0.000
Pd  0.000  0.500  0.000
Pd  0.500  0.000  0.000
I  0.500  0.500  0.500
N  0.000  0.000  0.500

Raw total energy = -0.12946 Ha/atom
E_form (uncorrected) = 930 meV per atom

Q: The highest raw total energy belongs to which entry?
A: CaPI2N

Q: The lowest raw total energy belongs to which entry?
A: Ca6PI3N2

Please write out number 1 again, unchanged.
Here is CaPI2N after structural relaxation from Alexandria. Energies are from PBE-GGA.

Cell: 6.016 6.016 4.221 Å, 90.00 90.00 90.00°
Fractional positions:
Ca  0.000  0.000  0.000
P  0.500  0.500  0.500
I  0.000  0.500  0.000
I  0.500  0.000  0.000
N  0.000  0.000  0.500

Raw total energy = -0.10335 Ha/atom
E_form (uncorrected) = 955 meV per atom
Relative energy among the computed polymorphs = 995.5 meV/atom